(P)
# PBE-GGA AcDy3Au2, relaxed
data_AcDy3Au2
_space_group_name_H-M_alt 'P m c 21'
_space_group_IT_number 26
_space_group_name_Hall 'P 2c -2'
_cell_length_a 5.020
_cell_length_b 9.116
_cell_length_c 7.456
_cell_angle_alpha 90.00
_cell_angle_beta 90.00
_cell_angle_gamma 90.00
loop_
_atom_site_label
_atom_site_fract_x
_atom_site_fract_y
_atom_site_fract_z
_atom_site_occupancy
Ac1 0.000 0.077 0.000 1
Dy1 0.000 0.338 0.633 1
Dy2 0.500 0.181 0.341 1
Dy3 0.500 0.430 0.970 1
Au1 0.000 0.358 0.246 1
Au2 0.500 0.162 0.731 1
# - density of states at the Fermi level (states/eV per cell) = 13.40
# - density (g cm⁻³) = 10.79

(Q)
# PBE-GGA AcDy3Au2, relaxed
data_AcDy3Au2
_space_group_name_H-M_alt 'C 1 2/m 1'
_space_group_IT_number 12
_space_group_name_Hall '-C 2y'
_cell_length_a 17.132
_cell_length_b 5.205
_cell_length_c 8.872
_cell_angle_alpha 90.00
_cell_angle_beta 118.31
_cell_angle_gamma 90.00
loop_
_atom_site_label
_atom_site_fract_x
_atom_site_fract_y
_atom_site_fract_z
_atom_site_occupancy
Ac1 0.139 0.000 0.213 1
Dy1 0.061 0.000 0.727 1
Dy2 0.113 0.500 0.508 1
Dy3 0.197 0.500 0.993 1
Au1 0.009 0.500 0.850 1
Au2 0.205 0.000 0.633 1
# - density of states at the Fermi level (states/eV per cell) = 24.42
# - density (g cm⁻³) = 10.57

Which of them is most stable? Easy: (P).

(P)
# PBE-GGA AcEr2Au, relaxed
data_AcEr2Au
_space_group_name_H-M_alt 'R -3 m'
_space_group_IT_number 166
_space_group_name_Hall '-R 3 2"'
_cell_length_a 3.8768
_cell_length_b 3.8768
_cell_length_c 29.8688
_cell_angle_alpha 90.00
_cell_angle_beta 90.00
_cell_angle_gamma 120.00
loop_
_atom_site_label
_atom_site_fract_x
_atom_site_fract_y
_atom_site_fract_z
_atom_site_occupancy
Ac1 0.0000 0.0000 0.0000 1
Er1 0.0000 0.0000 0.2291 1
Au1 0.0000 0.0000 0.5000 1
# - density of states at the Fermi level (states/eV per cell) = 12.69
# - density (g cm⁻³) = 9.72

(Q)
# PBE-GGA AcEr2Au, relaxed
data_AcEr2Au
_space_group_name_H-M_alt 'P 4/m m m'
_space_group_IT_number 123
_space_group_name_Hall '-P 4 2'
_cell_length_a 3.667
_cell_length_b 3.667
_cell_length_c 8.838
_cell_angle_alpha 90.00
_cell_angle_beta 90.00
_cell_angle_gamma 90.00
loop_
_atom_site_label
_atom_site_fract_x
_atom_site_fract_y
_atom_site_fract_z
_atom_site_occupancy
Ac1 0.000 0.000 0.000 1
Er1 0.500 0.500 0.310 1
Au1 0.000 0.000 0.500 1
# - density of states at the Fermi level (states/eV per cell) = 4.87
# - density (g cm⁻³) = 10.60

(R)
# PBE-GGA AcEr2Au, relaxed
data_AcEr2Au
_space_group_name_H-M_alt 'P 4/m m m'
_space_group_IT_number 123
_space_group_name_Hall '-P 4 2'
_cell_length_a 4.778
_cell_length_b 4.778
_cell_length_c 5.118
_cell_angle_alpha 90.00
_cell_angle_beta 90.00
_cell_angle_gamma 90.00
loop_
_atom_site_label
_atom_site_fract_x
_atom_site_fract_y
_atom_site_fract_z
_atom_site_occupancy
Ac1 0.000 0.000 0.000 1
Er1 0.000 0.500 0.500 1
Au1 0.500 0.500 0.000 1
# - density of states at the Fermi level (states/eV per cell) = 5.41
# - density (g cm⁻³) = 10.78

Which of them is most stable? Easy: (Q).

(P)
# PBE-GGA AcEuAu, relaxed
data_AcEuAu
_space_group_name_H-M_alt 'P 3 m 1'
_space_group_IT_number 156
_space_group_name_Hall 'P 3 -2"'
_cell_length_a 5.1370
_cell_length_b 5.1370
_cell_length_c 4.3645
_cell_angle_alpha 90.00
_cell_angle_beta 90.00
_cell_angle_gamma 120.00
loop_
_atom_site_label
_atom_site_fract_x
_atom_site_fract_y
_atom_site_fract_z
_atom_site_occupancy
Ac1 0.0000 0.0000 0.0000 1
Eu1 0.6667 0.3333 0.4768 1
Au1 0.3333 0.6667 0.6786 1
# - density of states at the Fermi level (states/eV per cell) = 2.41
# - density (g cm⁻³) = 9.59

(Q)
# PBE-GGA AcEuAu, relaxed
data_AcEuAu
_space_group_name_H-M_alt 'F -4 3 m'
_space_group_IT_number 216
_space_group_name_Hall 'F -4 2 3'
_cell_length_a 7.556
_cell_length_b 7.556
_cell_length_c 7.556
_cell_angle_alpha 90.00
_cell_angle_beta 90.00
_cell_angle_gamma 90.00
loop_
_atom_site_label
_atom_site_fract_x
_atom_site_fract_y
_atom_site_fract_z
_atom_site_occupancy
Ac1 0.000 0.000 0.000 1
Eu1 0.000 0.000 0.500 1
Au1 0.250 0.250 0.250 1
# - density of states at the Fermi level (states/eV per cell) = 13.74
# - density (g cm⁻³) = 8.87

Which of them is most stable? Easy: (Q).